[1]
UZn17Mo PBE relaxed; DFT total energy = -42.5 eV/f.u.; space-group type = No. 160; V = 296.5 Å³ per cell; crystal system = trigonal
1.0
4.4209 2.5524 4.3793
-4.4209 2.5524 4.3793
0.0000 -5.1048 4.3793
U Zn Mo
1 17 1
direct
0.0000 0.0000 0.0000
0.0316 0.3414 0.6319
0.0316 0.6319 0.3414
0.2142 0.6843 0.6843
0.2423 0.2423 0.2423
0.3160 0.3160 0.8549
0.3160 0.8549 0.3160
0.3414 0.0316 0.6319
0.3414 0.6319 0.0316
0.4386 0.4386 0.4386
0.5370 0.9560 0.9560
0.6319 0.0316 0.3414
0.6319 0.3414 0.0316
0.6843 0.2142 0.6843
0.6843 0.6843 0.2142
0.8549 0.3160 0.3160
0.9560 0.5370 0.9560
0.9560 0.9560 0.5370
0.6505 0.6505 0.6505


[2]
Er5Mg2Pb PBE relaxed; DFT total energy = -30.5 eV/f.u.; space-group type = No. 140; V = 453.4 Å³ per cell; crystal system = tetragonal
1.0
-4.1946 4.1946 6.4428
4.1946 -4.1946 6.4428
4.1946 4.1946 -6.4428
Er Mg Pb
10 4 2
direct
0.0000 0.0000 0.0000
0.0036 0.5036 0.1954
0.1918 0.9964 0.5000
0.3082 0.8082 0.8046
0.4964 0.6918 0.5000
0.5000 0.5000 0.0000
0.5036 0.3082 0.5000
0.6918 0.1918 0.1954
0.8082 0.0036 0.5000
0.9964 0.4964 0.8046
0.1392 0.3608 0.5000
0.3608 0.8608 0.2216
0.6392 0.1392 0.7784
0.8608 0.6392 0.5000
0.2500 0.2500 0.0000
0.7500 0.7500 0.0000


[3]
Li5Ac2Bi3 PBE relaxed; DFT total energy = -35.3 eV/f.u.; space-group type = No. 36; V = 535.0 Å³ per cell; crystal system = orthorhombic
1.0
2.4407 -13.9532 0.0000
2.4407 13.9532 0.0000
0.0000 0.0000 7.8542
Li Ac Bi
10 4 6
direct
0.0564 0.9436 0.5000
0.1288 0.8712 0.8280
0.2908 0.7092 0.5319
0.2956 0.7044 0.1626
0.3965 0.6035 0.6475
0.6035 0.3965 0.1475
0.7044 0.2956 0.6626
0.7092 0.2908 0.0319
0.8712 0.1288 0.3280
0.9436 0.0564 0.0000
0.1748 0.8252 0.3243
0.4871 0.5129 0.3213
0.5129 0.4871 0.8213
0.8252 0.1748 0.8243
0.0517 0.9483 0.1010
0.2330 0.7670 0.8548
0.3932 0.6068 0.0465
0.6068 0.3932 0.5465
0.7670 0.2330 0.3548
0.9483 0.0517 0.6010


Repeat the first record exactly.
UZn17Mo PBE relaxed; DFT total energy = -42.5 eV/f.u.; space-group type = No. 160; V = 296.5 Å³ per cell; crystal system = trigonal
1.0
4.4209 2.5524 4.3793
-4.4209 2.5524 4.3793
0.0000 -5.1048 4.3793
U Zn Mo
1 17 1
direct
0.0000 0.0000 0.0000
0.0316 0.3414 0.6319
0.0316 0.6319 0.3414
0.2142 0.6843 0.6843
0.2423 0.2423 0.2423
0.3160 0.3160 0.8549
0.3160 0.8549 0.3160
0.3414 0.0316 0.6319
0.3414 0.6319 0.0316
0.4386 0.4386 0.4386
0.5370 0.9560 0.9560
0.6319 0.0316 0.3414
0.6319 0.3414 0.0316
0.6843 0.2142 0.6843
0.6843 0.6843 0.2142
0.8549 0.3160 0.3160
0.9560 0.5370 0.9560
0.9560 0.9560 0.5370
0.6505 0.6505 0.6505


> V of number 3 (Li5Ac2Bi3)?

535.0 Å³ per cell


> DFT total energy of number 1 (UZn17Mo)?

-42.5 eV/f.u.


> V of number 2 (Er5Mg2Pb)?

453.4 Å³ per cell